Entry 1:
# PrTeAs (PBE, optimized geometry)
# * crystal system: hexagonal
# * raw total energy: -29.9 eV per cell
# * volume: 165 Å³ per cell
data_PrTeAs
_cell_length_a 5.546
_cell_length_b 5.546
_cell_length_c 6.206
_cell_angle_alpha 90.00
_cell_angle_beta 90.00
_cell_angle_gamma 120.00
_space_group_name_H-M_alt 'P 1'
_space_group_IT_number 1
_space_group_name_Hall 'P 1'
loop_
_atom_site_label
_atom_site_type_symbol
_atom_site_fract_x
_atom_site_fract_y
_atom_site_fract_z
As1 As 0.000 0.000 0.000
As2 As 0.000 0.000 0.500
Pr1 Pr 0.667 0.333 0.250
Pr2 Pr 0.333 0.667 0.750
Te1 Te 0.333 0.667 0.250
Te2 Te 0.667 0.333 0.750

***

Entry 2:
# Li4SnAsPt2 (PBE, optimized geometry)
# * crystal system: tetragonal
# * raw total energy: -33.6 eV per cell
# * volume: 119 Å³ per cell
data_Li4SnAsPt2
_cell_length_a 4.338
_cell_length_b 4.338
_cell_length_c 6.298
_cell_angle_alpha 90.00
_cell_angle_beta 90.00
_cell_angle_gamma 90.00
_space_group_name_H-M_alt 'P 1'
_space_group_IT_number 1
_space_group_name_Hall 'P 1'
loop_
_atom_site_label
_atom_site_type_symbol
_atom_site_fract_x
_atom_site_fract_y
_atom_site_fract_z
As1 As 0.000 0.000 0.500
Li1 Li 0.000 0.000 0.000
Li2 Li 0.500 0.000 0.275
Li3 Li 0.500 0.500 0.500
Li4 Li 0.000 0.500 0.725
Pt1 Pt 0.000 0.500 0.264
Pt2 Pt 0.500 0.000 0.736
Sn1 Sn 0.500 0.500 0.000

***

Entry 3:
# La2Mg3AlCu2 (PBE, optimized geometry)
# * crystal system: monoclinic
# * raw total energy: -27.5 eV per cell
# * volume: 178 Å³ per cell
data_La2Mg3AlCu2
_cell_length_a 5.570
_cell_length_b 5.570
_cell_length_c 7.825
_cell_angle_alpha 90.95
_cell_angle_beta 90.95
_cell_angle_gamma 47.12
_space_group_name_H-M_alt 'P 1'
_space_group_IT_number 1
_space_group_name_Hall 'P 1'
loop_
_atom_site_label
_atom_site_type_symbol
_atom_site_fract_x
_atom_site_fract_y
_atom_site_fract_z
Al1 Al 0.151 0.151 0.556
Cu1 Cu 0.268 0.268 0.263
Cu2 Cu 0.726 0.726 0.734
La1 La 0.560 0.560 0.261
La2 La 0.444 0.444 0.745
Mg1 Mg 0.848 0.848 0.053
Mg2 Mg 0.852 0.852 0.445
Mg3 Mg 0.151 0.151 0.943

***

Entry 4:
# Li4MgHgGe2 (PBE, optimized geometry)
# * crystal system: tetragonal
# * raw total energy: -21.1 eV per cell
# * volume: 134 Å³ per cell
data_Li4MgHgGe2
_cell_length_a 4.585
_cell_length_b 4.585
_cell_length_c 6.370
_cell_angle_alpha 90.00
_cell_angle_beta 90.00
_cell_angle_gamma 90.00
_space_group_name_H-M_alt 'P 1'
_space_group_IT_number 1
_space_group_name_Hall 'P 1'
loop_
_atom_site_label
_atom_site_type_symbol
_atom_site_fract_x
_atom_site_fract_y
_atom_site_fract_z
Ge1 Ge 0.500 0.000 0.265
Ge2 Ge 0.000 0.500 0.735
Hg1 Hg 0.000 0.000 0.000
Li1 Li 0.500 0.500 0.000
Li2 Li 0.000 0.500 0.234
Li3 Li 0.000 0.000 0.500
Li4 Li 0.500 0.000 0.766
Mg1 Mg 0.500 0.500 0.500

***

Entry 5:
# SmBe2P2 (PBE, optimized geometry)
# * crystal system: tetragonal
# * raw total energy: -26.5 eV per cell
# * volume: 76 Å³ per cell
data_SmBe2P2
_cell_length_a 6.489
_cell_length_b 6.489
_cell_length_c 6.489
_cell_angle_alpha 148.03
_cell_angle_beta 148.03
_cell_angle_gamma 45.84
_space_group_name_H-M_alt 'P 1'
_space_group_IT_number 1
_space_group_name_Hall 'P 1'
loop_
_atom_site_label
_atom_site_type_symbol
_atom_site_fract_x
_atom_site_fract_y
_atom_site_fract_z
Be1 Be 0.750 0.250 0.500
Be2 Be 0.250 0.750 0.500
P1 P 0.360 0.360 0.000
P2 P 0.640 0.640 0.000
Sm1 Sm 0.000 0.000 0.000

***

Entry 6:
# Gd3HfSe (PBE, optimized geometry)
# * crystal system: cubic
# * raw total energy: -28.3 eV per cell
# * volume: 156 Å³ per cell
data_Gd3HfSe
_cell_length_a 5.380
_cell_length_b 5.380
_cell_length_c 5.380
_cell_angle_alpha 90.00
_cell_angle_beta 90.00
_cell_angle_gamma 90.00
_space_group_name_H-M_alt 'P 1'
_space_group_IT_number 1
_space_group_name_Hall 'P 1'
loop_
_atom_site_label
_atom_site_type_symbol
_atom_site_fract_x
_atom_site_fract_y
_atom_site_fract_z
Gd1 Gd 0.500 0.500 0.000
Gd2 Gd 0.500 0.000 0.500
Gd3 Gd 0.000 0.500 0.500
Hf1 Hf 0.000 0.000 0.000
Se1 Se 0.500 0.500 0.500

***

Entry 7:
# HoUCo (PBE, optimized geometry)
# * crystal system: cubic
# * formation enthalpy at 0 K: 0.450 eV/atom
# * volume: 68 Å³ per cell
data_HoUCo
_cell_length_a 4.591
_cell_length_b 4.591
_cell_length_c 4.591
_cell_angle_alpha 60.00
_cell_angle_beta 60.00
_cell_angle_gamma 60.00
_space_group_name_H-M_alt 'P 1'
_space_group_IT_number 1
_space_group_name_Hall 'P 1'
loop_
_atom_site_label
_atom_site_type_symbol
_atom_site_fract_x
_atom_site_fract_y
_atom_site_fract_z
Co1 Co 0.000 0.000 0.000
Ho1 Ho 0.250 0.250 0.250
U1 U 0.750 0.750 0.750